1.
This record from Alexandria via LeMat-Bulk describes a relaxed DyHo3Tl crystal. The functional is PBE-GGA.

Computed properties:
- Spin magnetization: 0.00 Bohr magnetons per cell
- SG: C2/c (15)
- Formation enthalpy at 0 K: -0.042 eV/atom
- Crystal system: monoclinic
- Excess energy over the best structure of this formula in the dataset: 7.36 kJ per mole of atoms

Unit cell a=9.785 b=9.785 c=6.505 alpha=100.34 beta=100.34 gamma=84.13
Positions (direct):
Dy 0.037 0.172 0.462
Dy 0.172 0.037 0.962
Dy 0.828 0.963 0.038
Dy 0.963 0.828 0.538
Ho 0.093 0.713 0.023
Ho 0.124 0.499 0.360
Ho 0.230 0.375 0.858
Ho 0.287 0.907 0.477
Ho 0.375 0.230 0.358
Ho 0.499 0.124 0.860
Ho 0.501 0.876 0.140
Ho 0.625 0.770 0.642
Ho 0.713 0.093 0.523
Ho 0.770 0.625 0.142
Ho 0.876 0.501 0.640
Ho 0.907 0.287 0.977
Tl 0.333 0.667 0.750
Tl 0.417 0.583 0.250
Tl 0.583 0.417 0.750
Tl 0.667 0.333 0.250



2.
This record from Alexandria via LeMat-Bulk describes a relaxed CoTeRu2 crystal. The functional is PBE-GGA.

Computed properties:
- Spin magnetization: 2.71 Bohr magnetons per cell
- Formation energy from raw total energies: 0.827 eV per atom
- SG: I-42d (122)
- Crystal system: tetragonal

Unit cell a=7.095 b=7.095 c=7.095 alpha=136.46 beta=136.46 gamma=63.26
Positions (direct):
Co 0.000 0.000 0.000
Co 0.750 0.250 0.500
Te 0.250 0.750 0.500
Te 0.500 0.500 0.000
Ru 0.070 0.625 0.945
Ru 0.375 0.320 0.445
Ru 0.680 0.125 0.055
Ru 0.875 0.930 0.555



3.
This record from Alexandria via LeMat-Bulk describes a relaxed ZrTcMo3 crystal. The functional is PBE-GGA.

Computed properties:
- Spin magnetization: 0.00 Bohr magnetons per cell
- SG: Pm-3m (221)
- Formation enthalpy at 0 K: 1.187 eV/atom
- Crystal system: cubic
- Excess energy over the best structure of this formula in the dataset: 0.00 kJ per mole of atoms

Unit cell a=4.694 b=4.694 c=4.694 alpha=90.00 beta=90.00 gamma=90.00
Positions (direct):
Zr 0.000 0.000 0.000
Tc 0.500 0.500 0.500
Mo 0.000 0.500 0.500
Mo 0.500 0.000 0.500
Mo 0.500 0.500 0.000



4.
This record from Alexandria via LeMat-Bulk describes a relaxed TiVGa4 crystal. The functional is PBE-GGA.

Computed properties:
- Spin magnetization: 2.40 Bohr magnetons per cell
- SG: Pbam (55)
- Formation enthalpy at 0 K: -0.166 eV/atom
- Crystal system: orthorhombic

Unit cell a=4.591 b=7.330 c=5.541 alpha=90.00 beta=90.00 gamma=90.00
Positions (direct):
Ti 0.000 0.000 0.000
Ti 0.500 0.500 0.000
V 0.000 0.000 0.500
V 0.500 0.500 0.500
Ga 0.005 0.330 0.256
Ga 0.005 0.330 0.744
Ga 0.495 0.830 0.256
Ga 0.495 0.830 0.744
Ga 0.505 0.170 0.256
Ga 0.505 0.170 0.744
Ga 0.995 0.670 0.256
Ga 0.995 0.670 0.744